Here is crystalline Sc2CdCuNi at its relaxed geometry from the Alexandria database. Energies are from PBE.

Formation enthalpy at 0 K (eV/atom): 0.949
Excess energy over the best structure of this formula in the dataset (eV per atom): 0.500
Volume (Å³/cell): 127

Lattice parameters (Å, degrees): 5.241 4.607 5.241 90.00 90.00 90.00
Fractional coordinates of all 5 atoms:
Cu  0.000  0.500  0.000
Sc  0.500  0.000  0.000
Sc  0.000  0.000  0.500
Cd  0.000  0.000  0.000
Ni  0.500  0.500  0.500

=====

Here is crystalline Mn2CrGaC at its relaxed geometry from the Alexandria database. Energies are from PBE.

Formation enthalpy at 0 K (eV/atom): -0.070
Volume (Å³/cell): 57

Lattice parameters (Å, degrees): 3.800 3.800 3.971 90.00 90.00 90.00
Fractional coordinates of all 5 atoms:
C  0.000  0.000  0.000
Ga  0.500  0.500  0.500
Cr  0.000  0.000  0.500
Mn  0.000  0.500  0.000
Mn  0.500  0.000  0.000

=====

Repeat the first record exactly.
Here is crystalline Sc2CdCuNi at its relaxed geometry from the Alexandria database. Energies are from PBE.

Formation enthalpy at 0 K (eV/atom): 0.949
Excess energy over the best structure of this formula in the dataset (eV per atom): 0.500
Volume (Å³/cell): 127

Lattice parameters (Å, degrees): 5.241 4.607 5.241 90.00 90.00 90.00
Fractional coordinates of all 5 atoms:
Cu  0.000  0.500  0.000
Sc  0.500  0.000  0.000
Sc  0.000  0.000  0.500
Cd  0.000  0.000  0.000
Ni  0.500  0.500  0.500

=====

Q: Look up the volume of the first one.
A: 127 Å³/cell